Entry from Alexandria: a relaxed structure of AlCrGa2H (PBE-GGA).

POSCAR file:
```
AlCrGa2H
1.0
4.088 0.000 0.000
0.000 4.088 0.000
0.000 0.000 3.778
Al Cr Ga H
1 1 2 1
Direct
0.000 0.000 0.000 Al
0.500 0.500 0.000 Cr
0.000 0.500 0.500 Ga
0.500 0.000 0.500 Ga
0.000 0.000 0.500 H
```

Entry from Alexandria: a relaxed structure of PaTaRh4 (PBE-GGA).

POSCAR file:
```
PaTaRh4
1.0
7.445 0.000 0.000
0.000 3.208 0.000
0.000 0.000 17.271
Pa Ta Rh
4 4 16
Direct
0.238 0.250 0.186 Pa
0.262 0.750 0.686 Pa
0.738 0.250 0.314 Pa
0.762 0.750 0.814 Pa
0.246 0.250 0.944 Ta
0.254 0.750 0.444 Ta
0.746 0.250 0.556 Ta
0.754 0.750 0.056 Ta
0.027 0.750 0.565 Rh
0.057 0.750 0.299 Rh
0.114 0.750 0.058 Rh
0.121 0.750 0.832 Rh
0.379 0.250 0.332 Rh
0.386 0.250 0.558 Rh
0.443 0.250 0.799 Rh
0.473 0.250 0.065 Rh
0.527 0.750 0.935 Rh
0.557 0.750 0.201 Rh
0.614 0.750 0.442 Rh
0.621 0.750 0.668 Rh
0.879 0.250 0.168 Rh
0.886 0.250 0.942 Rh
0.943 0.250 0.701 Rh
0.973 0.250 0.435 Rh
```

Number 1: energy -21.68 eV/f.u., magnetization 2.1 Bohr magnetons per cell. Number 2: energy -53.54 eV/f.u., magnetization 0.0 Bohr magnetons per cell.